Entry 1:
A plane-wave DFT calculation with PBE was carried out for a relaxed PaMnReSi crystal.

POSCAR file:
```
PaMnReSi
1.0
0.0000 3.1900 3.1900
3.1900 0.0000 3.1900
3.1900 3.1900 0.0000
Pa Mn Re Si
1 1 1 1
Cartesian
0.0000 0.0000 0.0000
4.7851 4.7851 4.7851
1.5950 1.5950 1.5950
3.1900 3.1900 3.1900
```

E_form (uncorrected): 0.00 eV/atom
Space-group type: F-43m (216)
Total moment: 0.38 Bohr magnetons per cell
Fermi-level density of states: 4.89 states/eV/f.u.

Entry 2:
A plane-wave DFT calculation with PBE was carried out for a relaxed PaMnReSi2 crystal.

POSCAR file:
```
PaMnReSi2
1.0
-2.0164 2.0164 5.0940
2.0164 -2.0164 5.0940
2.0164 2.0164 -5.0940
Pa Mn Re Si
1 1 1 2
Cartesian
0.0000 0.0000 0.0000
2.0164 0.0000 2.5470
0.0000 2.0164 2.5470
0.0000 0.0000 3.8900
0.0000 0.0000 6.2979
```

E_form (uncorrected): -0.50 eV/atom
Space-group type: I-4m2 (119)
Total moment: 2.52 Bohr magnetons per cell
Fermi-level density of states: 5.09 states/eV/f.u.

Entry 3:
A plane-wave DFT calculation with PBE was carried out for a relaxed PaMnReSn crystal.

POSCAR file:
```
PaMnReSn
1.0
0.0000 3.3495 3.3495
3.3495 0.0000 3.3495
3.3495 3.3495 0.0000
Pa Mn Re Sn
1 1 1 1
Cartesian
0.0000 0.0000 0.0000
5.0243 5.0243 5.0243
1.6748 1.6748 1.6748
3.3495 3.3495 3.3495
```

Space-group type: F-43m (216)
E_form: 0.11 eV per atom
Total moment: 2.50 Bohr magnetons per cell
Fermi-level density of states: 4.57 states/eV/f.u.

> Look up the Fermi-level density of states of the third one.

4.57 states/eV/f.u.

> The lowest total moment belongs to which entry?

PaMnReSi

> The highest Fermi-level density of states belongs to which entry?

PaMnReSi2